[1]
The following is a PBEsol calculation of an optimized crystal structure of RbPtRh2O, from Alexandria.

## Properties
Total DFT energy (no corrections): -4.455 eV/atom
Formation energy from raw total energies: 1.4481 eV/atom
SG: No. 123
Volume: 145 Å³/cell

Unit cell a=4.652 b=4.652 c=6.676 alpha=90.00 beta=90.00 gamma=90.00
Atoms (fractional coordinates):
Rb  0.000  0.000  0.000
Pt  0.000  0.000  0.500
Rh  0.000  0.500  0.500
Rh  0.500  0.000  0.500
O  0.500  0.500  0.000

[2]
The following is a PBEsol calculation of an optimized crystal structure of Sc2CuI, from Alexandria.

## Properties
Total DFT energy (no corrections): -5.024 eV/atom
Formation energy from raw total energies: -0.1964 eV/atom
SG: No. 166
Volume: 109 Å³/cell

Unit cell a=8.436 b=8.436 c=8.436 alpha=27.00 beta=27.00 gamma=27.00
Atoms (fractional coordinates):
Sc  0.115  0.115  0.115
Sc  0.885  0.885  0.885
Cu  0.500  0.500  0.500
I  0.000  0.000  0.000

[3]
The following is a PBEsol calculation of an optimized crystal structure of NaZrBr3, from Alexandria.

## Properties
Total DFT energy (no corrections): -4.211 eV/atom
Formation energy from raw total energies: -0.9915 eV/atom
SG: No. 221
Volume: 150 Å³/cell

Unit cell a=5.308 b=5.308 c=5.308 alpha=90.00 beta=90.00 gamma=90.00
Atoms (fractional coordinates):
Na  0.000  0.000  0.000
Zr  0.500  0.500  0.500
Br  0.000  0.500  0.500
Br  0.500  0.000  0.500
Br  0.500  0.500  0.000

[4]
The following is a PBEsol calculation of an optimized crystal structure of YAgAs2, from Alexandria.

## Properties
Total DFT energy (no corrections): -5.708 eV/atom
SG: No. 123
Volume: 78 Å³/cell
ΔH_f (0 K): -0.622 eV/atom

Unit cell a=4.510 b=4.510 c=3.810 alpha=90.00 beta=90.00 gamma=90.00
Atoms (fractional coordinates):
Y  0.000  0.000  0.000
Ag  0.500  0.500  0.000
As  0.000  0.500  0.500
As  0.500  0.000  0.500